# 1
LiMnCo2 (PBE, relaxed); ΔH_f (0 K) = 0.186 eV per atom; size of the total moment = 6.2 Bohr magnetons per cell; symmetry = Pm; final energy = -6.138 eV/atom; distance to the lowest polymorph of the same formula = 0.155 eV per formula unit; crystal system = monoclinic
1.0
2.455 0.000 0.000
0.000 4.083 0.000
-0.740 0.000 4.669
Li Mn Co
1 1 2
Cartesian
0.000 0.000 0.000
1.622 2.041 1.182
-0.016 2.041 3.466
0.737 0.000 2.401

# 2
Sr2IBr (PBE, relaxed); size of the total moment = 0.0 Bohr magnetons per cell; symmetry = R3m; E_form (uncorrected) = -485 kJ/mol of formula units; final energy = -2.904 eV/atom; distance to the lowest polymorph of the same formula = 0.000 eV per formula unit; crystal system = trigonal
1.0
2.253 1.301 11.242
-2.253 1.301 11.242
0.000 -2.601 11.242
Sr I Br
2 1 1
Cartesian
0.000 0.000 0.000
0.000 0.000 5.700
0.000 0.000 20.452
0.000 0.000 12.865

# 3
CeGaBr2 (PBE, relaxed); size of the total moment = 1.5 Bohr magnetons per cell; symmetry = R-3m; E_form (uncorrected) = -226 kJ/mol of formula units; final energy = -3.662 eV/atom; crystal system = trigonal
1.0
2.041 1.178 9.756
-2.041 1.178 9.756
0.000 -2.356 9.756
Ce Ga Br
1 1 2
Cartesian
0.000 0.000 0.000
0.000 0.000 14.634
0.000 0.000 2.896
0.000 0.000 26.372

# 4
La2MnAl (PBE, relaxed); ΔH_f (0 K) = 0.000 eV per atom; size of the total moment = 3.3 Bohr magnetons per cell; symmetry = Cmmm; final energy = -5.692 eV/atom; crystal system = orthorhombic
1.0
3.756 -3.761 0.000
3.756 3.761 0.000
0.000 0.000 3.797
La Mn Al
2 1 1
Cartesian
1.878 1.880 0.000
1.878 -1.880 0.000
0.000 0.000 1.898
3.756 0.000 1.898

# 5
La2DySb3Ir4 (PBE, relaxed); size of the total moment = 0.0 Bohr magnetons per cell; symmetry = P-4m2; E_form (uncorrected) = -706 kJ/mol of formula units; final energy = -6.958 eV/atom; crystal system = tetragonal
1.0
4.389 0.000 0.000
0.000 4.389 0.000
0.000 0.000 11.684
La Dy Sb Ir
2 1 3 4
Cartesian
0.000 2.195 2.743
2.195 0.000 8.941
0.000 0.000 5.842
0.000 2.195 10.159
2.195 0.000 1.525
2.195 2.195 5.842
0.000 0.000 0.000
0.000 2.195 7.565
2.195 0.000 4.119
2.195 2.195 0.000

# 6
BaHI3 (PBE, relaxed); size of the total moment = 0.0 Bohr magnetons per cell; symmetry = Pm-3m; final energy = -2.525 eV/atom; distance to the lowest polymorph of the same formula = 2.523 eV per formula unit; crystal system = cubic
1.0
5.455 0.000 0.000
0.000 5.455 0.000
0.000 0.000 5.455
Ba H I
1 1 3
Cartesian
0.000 0.000 0.000
2.727 2.727 2.727
0.000 2.727 2.727
2.727 0.000 2.727
2.727 2.727 0.000

# 7
K2VNi2S4 (PBE, relaxed); size of the total moment = 0.2 Bohr magnetons per cell; symmetry = C2/m; E_form (uncorrected) = -694 kJ/mol of formula units; final energy = -5.176 eV/atom; crystal system = monoclinic
1.0
6.635 -1.809 0.000
6.635 1.809 0.000
-2.233 0.000 7.111
K V Ni S
2 1 2 4
Cartesian
1.635 0.000 0.414
9.402 0.000 6.697
-1.116 0.000 3.556
3.152 0.000 3.650
7.884 0.000 3.461
1.078 0.000 4.740
4.836 0.000 5.096
6.201 0.000 2.015
9.959 0.000 2.371

# 8
BeAlCl2 (PBE, relaxed); size of the total moment = 0.0 Bohr magnetons per cell; symmetry = I-4m2; E_form (uncorrected) = 88 kJ/mol of formula units; final energy = -2.564 eV/atom; distance to the lowest polymorph of the same formula = 3.510 eV per formula unit; crystal system = tetragonal
1.0
-1.868 1.868 6.248
1.868 -1.868 6.248
1.868 1.868 -6.248
Be Al Cl
1 1 2
Cartesian
0.000 0.000 0.000
0.000 1.868 3.124
1.868 0.000 3.124
0.000 0.000 6.248